Here is crystalline CuSe2 at its relaxed geometry from Alexandria. Energies are from GGA-PBEsol.

For the spin magnetization, the calculation gives 0.0 Bohr magnetons per cell. The raw total energy comes out at -0.275 Ry per atom. Its uncorrected formation energy is 0.270 eV per atom.

abc: 3.381 3.381 9.457
angles: 90.00 90.00 90.00
Space group I4/mmm (No. 139)
Asymmetric unit:
Cu 0.000 0.000 0.000
Se 0.000 0.000 0.371


Here is crystalline Cu3Se at its relaxed geometry from Alexandria. Energies are from GGA-PBEsol.

For the spin magnetization, the calculation gives 0.0 Bohr magnetons per cell. The raw total energy comes out at -0.301 Ry per atom. Its uncorrected formation energy is 0.114 eV per atom.

abc: 3.249 3.249 5.004
angles: 90.00 90.00 90.00
Space group P4/mmm (No. 123)
Asymmetric unit:
Cu 0.000 0.000 0.000
Cu 0.500 0.500 0.242
Se 0.000 0.000 0.500


Here is crystalline CuSe3 at its relaxed geometry from Alexandria. Energies are from GGA-PBEsol.

For the spin magnetization, the calculation gives 0.0 Bohr magnetons per cell. The raw total energy comes out at -0.255 Ry per atom. Its uncorrected formation energy is 0.503 eV per atom.

abc: 6.539 6.539 6.539
angles: 90.00 90.00 90.00
Space group Fm-3m (No. 225)
Asymmetric unit:
Cu 0.000 0.000 0.000
Se 0.000 0.000 0.500
Se 0.250 0.250 0.250